# Hg3S2Br2

A relaxed Hg3S2Br2 crystal (PBE-GGA, Alexandria via LeMat-Bulk).

POSCAR file:
```
Hg3S2Br2
1.0
7.107 0.000 -2.241
0.000 7.517 0.000
-0.717 0.000 7.948
Hg S Br
6 4 4
direct
0.000 0.000 0.000
0.500 0.500 0.500
0.732 0.909 0.299
0.268 0.091 0.701
0.232 0.591 0.799
0.768 0.409 0.201
0.223 0.384 0.556
0.723 0.116 0.056
0.277 0.884 0.944
0.777 0.616 0.444
0.225 0.860 0.409
0.275 0.360 0.091
0.775 0.140 0.591
0.725 0.640 0.909
```

Results
relative energy among the computed polymorphs: 32.4 meV per atom
energy relative to the elements, uncorrected: -276 meV per atom
magnetic moment: 0.000 μB/atom

---

# Hg2SBr

A relaxed Hg2SBr crystal (PBE-GGA, Alexandria via LeMat-Bulk).

POSCAR file:
```
Hg2SBr
1.0
-6.242 -0.593 3.654
0.812 -0.520 -7.756
4.170 -9.626 2.886
Hg S Br
8 4 4
direct
0.397 0.115 0.871
0.820 0.058 0.627
0.603 0.885 0.129
0.307 0.569 0.627
0.974 0.756 0.871
0.180 0.942 0.373
0.693 0.431 0.373
0.026 0.244 0.129
0.643 0.893 0.787
0.357 0.107 0.213
0.015 0.765 0.530
0.985 0.235 0.470
0.223 0.473 0.947
0.595 0.345 0.690
0.777 0.527 0.053
0.405 0.655 0.310
```

Results
relative energy among the computed polymorphs: 0.0 meV per atom
energy relative to the elements, uncorrected: -226 meV per atom
magnetic moment: 0.000 μB/atom

---

Going through the records in order, we get final energy values of -2.06; -1.83 eV per atom.